(A)
VASP calculation (PBE-GGA) on an optimized crystal structure of IO.

Results
* symmetry: P2_1/m (11)

a = 3.3411 Å, b = 4.0793 Å, c = 7.6862 Å
α = 90.00°, β = 91.66°, γ = 90.00°
With the nearest neighbours (Å) after each atom.
Sites, in units of the cell vectors:
1 I 0.2334 0.2500 0.2496  2 O 2.04
2 I 0.7666 0.7500 0.7504  2 O 2.04
3 O 0.2327 0.7500 0.2494  2 I 2.04
4 O 0.7673 0.2500 0.7506  2 I 2.04

(B)
VASP calculation (PBE-GGA) on an optimized crystal structure of IO.

Results
* symmetry: I-43m (217)

a = 7.8190 Å, b = 7.8190 Å, c = 7.8190 Å
α = 90.00°, β = 90.00°, γ = 90.00°
With the nearest neighbours (Å) after each atom.
Sites, in units of the cell vectors:
1 I 0.2095 0.2095 0.7905  1 O 1.93
2 I 0.2095 0.7905 0.2095  1 O 1.93
3 I 0.2905 0.2905 0.2905  1 O 1.93
4 I 0.2905 0.7095 0.7095  1 O 1.93
5 I 0.7095 0.2905 0.7095  1 O 1.93
6 I 0.7095 0.7095 0.2905  1 O 1.93
7 I 0.7905 0.2095 0.2095  1 O 1.93
8 I 0.7905 0.7905 0.7905  1 O 1.93
9 O 0.1478 0.1478 0.1478  1 I 1.93
10 O 0.1478 0.8522 0.8522  1 I 1.93
11 O 0.3522 0.3522 0.6478  1 I 1.93
12 O 0.3522 0.6478 0.3522  1 I 1.93
13 O 0.6478 0.3522 0.3522  1 I 1.93
14 O 0.6478 0.6478 0.6478  1 I 1.93
15 O 0.8522 0.1478 0.8522  1 I 1.93
16 O 0.8522 0.8522 0.1478  1 I 1.93

(C)
VASP calculation (PBE-GGA) on an optimized crystal structure of IO.

Results
* symmetry: Imm2 (44)

a = 3.8434 Å, b = 9.9834 Å, c = 7.6823 Å
α = 90.00°, β = 90.00°, γ = 90.00°
With the nearest neighbours (Å) after each atom.
Sites, in units of the cell vectors:
1 I 0.0000 0.0000 0.0000  1 O 1.90
2 I 0.0000 0.3406 0.9665  2 O 2.08
3 I 0.0000 0.6594 0.9665  2 O 2.08
4 I 0.5000 0.1594 0.4665  2 O 2.08
5 I 0.5000 0.5000 0.5000  1 O 1.90
6 I 0.5000 0.8406 0.4665  2 O 2.08
7 O 0.0000 0.0000 0.2479  1 I 1.90
8 O 0.0000 0.1664 0.5709  2 I 2.08
9 O 0.0000 0.8336 0.5709  2 I 2.08
10 O 0.5000 0.3336 0.0709  2 I 2.08
11 O 0.5000 0.5000 0.7479  1 I 1.90
12 O 0.5000 0.6664 0.0709  2 I 2.08

Most stable one: (A), least stable one: (B).

(A)
VASP calculation (PBE-GGA) on an optimized crystal structure of IO.

Results
* symmetry: I4/m (87)

a = 10.9285 Å, b = 10.9285 Å, c = 3.2279 Å
α = 90.00°, β = 90.00°, γ = 90.00°
With the nearest neighbours (Å) after each atom.
Sites, in units of the cell vectors:
1 I 0.0453 0.2283 0.0000  1 O 1.94
2 I 0.2283 0.9547 0.0000  1 O 1.94
3 I 0.2717 0.5453 0.5000  1 O 1.94
4 I 0.4547 0.2717 0.5000  1 O 1.94
5 I 0.5453 0.7283 0.5000  1 O 1.94
6 I 0.7283 0.4547 0.5000  1 O 1.94
7 I 0.7717 0.0453 0.0000  1 O 1.94
8 I 0.9547 0.7717 0.0000  1 O 1.94
9 O 0.1306 0.7506 0.0000  1 I 1.94
10 O 0.2494 0.1306 0.0000  1 I 1.94
11 O 0.2506 0.3694 0.5000  1 I 1.94
12 O 0.3694 0.7494 0.5000  1 I 1.94
13 O 0.6306 0.2506 0.5000  1 I 1.94
14 O 0.7494 0.6306 0.5000  1 I 1.94
15 O 0.7506 0.8694 0.0000  1 I 1.94
16 O 0.8694 0.2494 0.0000  1 I 1.94

(B)
VASP calculation (PBE-GGA) on an optimized crystal structure of IO.

Results
* symmetry: P1 (1)

a = 4.4815 Å, b = 4.5615 Å, c = 6.3252 Å
α = 70.62°, β = 73.87°, γ = 61.96°
With the nearest neighbours (Å) after each atom.
Sites, in units of the cell vectors:
1 I 0.0000 0.0000 0.0000  2 O 2.19-2.29
2 I 0.1243 0.2310 0.4121  2 O 1.93-1.94
3 O 0.2202 0.2597 0.6838  1 I 1.94
4 O 0.7914 0.6939 0.3212  1 I 1.93

(C)
VASP calculation (PBE-GGA) on an optimized crystal structure of IO.

Results
* symmetry: Fddd (70)

a = 8.7943 Å, b = 7.4768 Å, c = 6.9636 Å
α = 74.94°, β = 55.18°, γ = 49.87°
With the nearest neighbours (Å) after each atom.
Sites, in units of the cell vectors:
1 I 0.0907 0.6593 0.0907  2 O 2.07
2 I 0.3407 0.9093 0.3407  2 O 2.07
3 I 0.6593 0.0907 0.6593  2 O 2.07
4 I 0.9093 0.3407 0.9093  2 O 2.07
5 O 0.0590 0.0590 0.6910  2 I 2.07
6 O 0.3090 0.3090 0.9410  2 I 2.07
7 O 0.6910 0.6910 0.0590  2 I 2.07
8 O 0.9410 0.9410 0.3090  2 I 2.07

Most stable one: (B), least stable one: (A).

(A)
VASP calculation (PBE-GGA) on an optimized crystal structure of IO.

Results
* symmetry: P4/m (83)

a = 9.2924 Å, b = 9.2924 Å, c = 4.6368 Å
α = 90.00°, β = 90.00°, γ = 90.00°
With the nearest neighbours (Å) after each atom.
Sites, in units of the cell vectors:
1 I 0.0290 0.2677 0.0000  1 O 2.11
2 I 0.2677 0.9710 0.0000  1 O 2.11
3 I 0.2921 0.6786 0.5000  1 O 1.89
4 I 0.3214 0.2921 0.5000  1 O 1.89
5 I 0.6786 0.7079 0.5000  1 O 1.89
6 I 0.7079 0.3214 0.5000  1 O 1.89
7 I 0.7323 0.0290 0.0000  1 O 2.11
8 I 0.9710 0.7323 0.0000  1 O 2.11
9 O 0.1647 0.5202 0.5000  1 I 1.89
10 O 0.2497 0.7449 0.0000  1 I 2.11
11 O 0.2551 0.2497 0.0000  1 I 2.11
12 O 0.4798 0.1647 0.5000  1 I 1.89
13 O 0.5202 0.8353 0.5000  1 I 1.89
14 O 0.7449 0.7503 0.0000  1 I 2.11
15 O 0.7503 0.2551 0.0000  1 I 2.11
16 O 0.8353 0.4798 0.5000  1 I 1.89

(B)
VASP calculation (PBE-GGA) on an optimized crystal structure of IO.

Results
* symmetry: P2_12_12_1 (19)

a = 6.4852 Å, b = 7.7499 Å, c = 9.0111 Å
α = 90.00°, β = 90.00°, γ = 90.00°
With the nearest neighbours (Å) after each atom.
Sites, in units of the cell vectors:
1 I 0.0283 0.0991 0.3513  2 O 2.22-2.25
2 I 0.0554 0.5747 0.7587  2 O 1.92-1.98
3 I 0.4446 0.4253 0.2587  2 O 1.92-1.98
4 I 0.4717 0.9009 0.8513  2 O 2.22-2.25
5 I 0.5283 0.4009 0.6487  2 O 2.22-2.25
6 I 0.5554 0.9253 0.2413  2 O 1.92-1.98
7 I 0.9446 0.0747 0.7413  2 O 1.92-1.98
8 I 0.9717 0.5991 0.1487  2 O 2.22-2.25
9 O 0.1550 0.8148 0.7794  1 I 1.98
10 O 0.2227 0.5113 0.5912  1 I 1.92
11 O 0.2773 0.4887 0.0912  1 I 1.92
12 O 0.3450 0.1852 0.2794  1 I 1.98
13 O 0.6550 0.6852 0.2206  1 I 1.98
14 O 0.7227 0.9887 0.4088  1 I 1.92
15 O 0.7773 0.0113 0.9088  1 I 1.92
16 O 0.8450 0.3148 0.7206  1 I 1.98

Most stable one: (B), least stable one: (A).

(A)
VASP calculation (PBE-GGA) on an optimized crystal structure of IO.

Results
* symmetry: F-43m (216)

a = 5.7716 Å, b = 5.7716 Å, c = 5.7716 Å
α = 90.00°, β = 90.00°, γ = 90.00°
With the nearest neighbours (Å) after each atom.
Sites, in units of the cell vectors:
1 I 0.0000 0.0000 0.0000  4 O 2.50
2 I 0.0000 0.5000 0.5000  4 O 2.50
3 I 0.5000 0.0000 0.5000  4 O 2.50
4 I 0.5000 0.5000 0.0000  4 O 2.50
5 O 0.2500 0.2500 0.2500  4 I 2.50
6 O 0.2500 0.7500 0.7500  4 I 2.50
7 O 0.7500 0.2500 0.7500  4 I 2.50
8 O 0.7500 0.7500 0.2500  4 I 2.50

(B)
VASP calculation (PBE-GGA) on an optimized crystal structure of IO.

Results
* symmetry: C2/m (12)

a = 8.6114 Å, b = 4.0724 Å, c = 3.6121 Å
α = 90.00°, β = 114.47°, γ = 90.00°
With the nearest neighbours (Å) after each atom.
Sites, in units of the cell vectors:
1 I 0.0000 0.0000 0.0000  2 O 2.04
2 I 0.5000 0.5000 0.0000  2 O 2.04
3 O 0.0000 0.5000 0.0000  2 I 2.04
4 O 0.5000 0.0000 0.0000  2 I 2.04

Most stable one: (B), least stable one: (A).

(A)
VASP calculation (PBE-GGA) on an optimized crystal structure of IO.

Results
* symmetry: Pm-3n (223)

a = 6.9782 Å, b = 6.9782 Å, c = 6.9782 Å
α = 90.00°, β = 90.00°, γ = 90.00°
With the nearest neighbours (Å) after each atom.
Sites, in units of the cell vectors:
1 I 0.0000 0.2500 0.5000  4 O 2.47
2 I 0.0000 0.7500 0.5000  4 O 2.47
3 I 0.2500 0.5000 0.0000  4 O 2.47
4 I 0.5000 0.0000 0.2500  4 O 2.47
5 I 0.5000 0.0000 0.7500  4 O 2.47
6 I 0.7500 0.5000 0.0000  4 O 2.47
7 O 0.0000 0.5000 0.2500  4 I 2.47
8 O 0.0000 0.5000 0.7500  4 I 2.47
9 O 0.2500 0.0000 0.5000  4 I 2.47
10 O 0.5000 0.2500 0.0000  4 I 2.47
11 O 0.5000 0.7500 0.0000  4 I 2.47
12 O 0.7500 0.0000 0.5000  4 I 2.47

(B)
VASP calculation (PBE-GGA) on an optimized crystal structure of IO.

Results
* symmetry: P1 (1)

a = 3.9665 Å, b = 4.4826 Å, c = 6.8671 Å
α = 73.25°, β = 81.04°, γ = 89.00°
With the nearest neighbours (Å) after each atom.
Sites, in units of the cell vectors:
1 I 0.0000 0.0000 0.0000  1 I 2.86
2 I 0.2610 0.7553 0.3784  2 O 1.81-1.82
3 O 0.3390 0.3587 0.3727  1 I 1.81
4 O 0.8610 0.7149 0.5556  1 I 1.82

(C)
VASP calculation (PBE-GGA) on an optimized crystal structure of IO.

Results
* symmetry: P4_2/mnm (136)

a = 7.8503 Å, b = 7.8503 Å, c = 4.0676 Å
α = 90.00°, β = 90.00°, γ = 90.00°
With the nearest neighbours (Å) after each atom.
Sites, in units of the cell vectors:
1 I 0.1496 0.1496 0.0000  2 O 2.04
2 I 0.3504 0.6496 0.5000  2 O 2.04
3 I 0.6496 0.3504 0.5000  2 O 2.04
4 I 0.8504 0.8504 0.0000  2 O 2.04
5 O 0.1596 0.1596 0.5000  2 I 2.04
6 O 0.3404 0.6596 0.0000  2 I 2.04
7 O 0.6596 0.3404 0.0000  2 I 2.04
8 O 0.8404 0.8404 0.5000  2 I 2.04

(D)
VASP calculation (PBE-GGA) on an optimized crystal structure of IO.

Results
* symmetry: P6_3/m (176)

a = 10.7950 Å, b = 10.7950 Å, c = 3.1334 Å
α = 90.00°, β = 90.00°, γ = 120.00°
With the nearest neighbours (Å) after each atom.
Sites, in units of the cell vectors:
1 I 0.1354 0.7450 0.2500  1 O 1.91
2 I 0.2550 0.3905 0.2500  1 O 1.91
3 I 0.3905 0.1354 0.7500  1 O 1.91
4 I 0.6095 0.8646 0.2500  1 O 1.91
5 I 0.7450 0.6095 0.7500  1 O 1.91
6 I 0.8646 0.2550 0.7500  1 O 1.91
7 O 0.1014 0.4307 0.2500  1 I 1.91
8 O 0.3292 0.8986 0.2500  1 I 1.91
9 O 0.4307 0.3292 0.7500  1 I 1.91
10 O 0.5693 0.6708 0.2500  1 I 1.91
11 O 0.6708 0.1014 0.7500  1 I 1.91
12 O 0.8986 0.5693 0.7500  1 I 1.91

Most stable one: (B), least stable one: (A).

(A)
VASP calculation (PBE-GGA) on an optimized crystal structure of IO.

Results
* symmetry: P6_3mc (186)

a = 3.6087 Å, b = 3.6087 Å, c = 7.9598 Å
α = 90.00°, β = 90.00°, γ = 120.00°
With the nearest neighbours (Å) after each atom.
Sites, in units of the cell vectors:
1 I 0.3333 0.6667 0.0000  1 O 1.90
2 I 0.6667 0.3333 0.5000  1 O 1.90
3 O 0.3333 0.6667 0.7615  1 I 1.90
4 O 0.6667 0.3333 0.2615  1 I 1.90

(B)
VASP calculation (PBE-GGA) on an optimized crystal structure of IO.

Results
* symmetry: Fm-3m (225)

a = 5.3357 Å, b = 5.3357 Å, c = 5.3357 Å
α = 90.00°, β = 90.00°, γ = 90.00°
With the nearest neighbours (Å) after each atom.
Sites, in units of the cell vectors:
1 I 0.0000 0.0000 0.0000  6 O 2.67
2 I 0.0000 0.5000 0.5000  6 O 2.67
3 I 0.5000 0.0000 0.5000  6 O 2.67
4 I 0.5000 0.5000 0.0000  6 O 2.67
5 O 0.0000 0.0000 0.5000  6 I 2.67
6 O 0.0000 0.5000 0.0000  6 I 2.67
7 O 0.5000 0.0000 0.0000  6 I 2.67
8 O 0.5000 0.5000 0.5000  6 I 2.67

Most stable one: (A), least stable one: (B).

(A)
VASP calculation (PBE-GGA) on an optimized crystal structure of OsIO2.

Results
* symmetry: Fd-3m (227)

a = 6.0792 Å, b = 6.0792 Å, c = 6.0792 Å
α = 60.00°, β = 60.00°, γ = 60.00°
With the nearest neighbours (Å) after each atom.
Sites, in units of the cell vectors:
1 Os 0.1250 0.1250 0.1250  4 O 1.86
2 Os 0.8750 0.8750 0.8750  4 O 1.86
3 I 0.3750 0.3750 0.3750  12 O 3.56, 4 Os 3.72, 4 I 3.72
4 I 0.6250 0.6250 0.6250  12 O 3.56, 4 Os 3.72, 4 I 3.72
5 O 0.0000 0.0000 0.0000  2 Os 1.86
6 O 0.0000 0.0000 0.5000  2 Os 1.86
7 O 0.0000 0.5000 0.0000  2 Os 1.86
8 O 0.5000 0.0000 0.0000  2 Os 1.86

(B)
VASP calculation (PBE-GGA) on an optimized crystal structure of OsIO2.

Results
* symmetry: Fm-3m (225)

a = 5.9343 Å, b = 5.9343 Å, c = 5.9343 Å
α = 90.00°, β = 90.00°, γ = 90.00°
With the nearest neighbours (Å) after each atom.
Sites, in units of the cell vectors:
1 Os 0.0000 0.0000 0.0000  8 O 2.57
2 Os 0.0000 0.5000 0.5000  8 O 2.57
3 Os 0.5000 0.0000 0.5000  8 O 2.57
4 Os 0.5000 0.5000 0.0000  8 O 2.57
5 I 0.0000 0.0000 0.5000  8 O 2.57
6 I 0.0000 0.5000 0.0000  8 O 2.57
7 I 0.5000 0.0000 0.0000  8 O 2.57
8 I 0.5000 0.5000 0.5000  8 O 2.57
9 O 0.2500 0.2500 0.2500  4 Os 2.57, 4 I 2.57
10 O 0.2500 0.2500 0.7500  4 I 2.57, 4 Os 2.57
11 O 0.2500 0.7500 0.2500  4 Os 2.57, 4 I 2.57
12 O 0.2500 0.7500 0.7500  4 Os 2.57, 4 I 2.57
13 O 0.7500 0.2500 0.2500  4 Os 2.57, 4 I 2.57
14 O 0.7500 0.2500 0.7500  4 Os 2.57, 4 I 2.57
15 O 0.7500 0.7500 0.2500  4 Os 2.57, 4 I 2.57
16 O 0.7500 0.7500 0.7500  4 I 2.57, 4 Os 2.57

(C)
VASP calculation (PBE-GGA) on an optimized crystal structure of OsIO2.

Results
* symmetry: R-3m (166)

a = 3.2199 Å, b = 3.2199 Å, c = 25.0461 Å
α = 90.00°, β = 90.00°, γ = 120.00°
With the nearest neighbours (Å) after each atom.
Sites, in units of the cell vectors:
1 Os 0.0000 0.0000 0.0000  6 O 2.03
2 Os 0.3333 0.6667 0.6667  6 O 2.03
3 Os 0.6667 0.3333 0.3333  6 O 2.03
4 I 0.0000 0.0000 0.5000  6 I 3.22, 2 O 3.37
5 I 0.3333 0.6667 0.1667  6 I 3.22, 2 O 3.37
6 I 0.6667 0.3333 0.8333  6 I 3.22, 2 O 3.37
7 O 0.0000 0.0000 0.3655  3 Os 2.03
8 O 0.0000 0.0000 0.6345  3 Os 2.03
9 O 0.3333 0.6667 0.0322  3 Os 2.03
10 O 0.3333 0.6667 0.3011  3 Os 2.03
11 O 0.6667 0.3333 0.6989  3 Os 2.03
12 O 0.6667 0.3333 0.9678  3 Os 2.03

Most stable one: (C), least stable one: (B).

(A)
VASP calculation (PBE-GGA) on an optimized crystal structure of Os2IO.

Results
* symmetry: I-42d (122)

a = 4.5744 Å, b = 4.5744 Å, c = 13.6595 Å
α = 90.00°, β = 90.00°, γ = 90.00°
With the nearest neighbours (Å) after each atom.
Sites, in units of the cell vectors:
1 Os 0.1133 0.2500 0.1250  2 O 2.12
2 Os 0.2500 0.6133 0.3750  2 O 2.12
3 Os 0.2500 0.8867 0.8750  2 O 2.12
4 Os 0.3867 0.2500 0.6250  2 O 2.12
5 Os 0.6133 0.7500 0.6250  2 O 2.12
6 Os 0.7500 0.1133 0.8750  2 O 2.12
7 Os 0.7500 0.3867 0.3750  2 O 2.12
8 Os 0.8867 0.7500 0.1250  2 O 2.12
9 I 0.0000 0.0000 0.5000  4 Os 2.71
10 I 0.0000 0.5000 0.7500  4 Os 2.71
11 I 0.5000 0.0000 0.2500  4 Os 2.71
12 I 0.5000 0.5000 0.0000  4 Os 2.71
13 O 0.0000 0.0000 0.0000  4 Os 2.12
14 O 0.0000 0.5000 0.2500  4 Os 2.12
15 O 0.5000 0.0000 0.7500  4 Os 2.12
16 O 0.5000 0.5000 0.5000  4 Os 2.12

(B)
VASP calculation (PBE-GGA) on an optimized crystal structure of Os2IO.

Results
* symmetry: Fm-3m (225)

a = 6.1539 Å, b = 6.1539 Å, c = 6.1539 Å
α = 90.00°, β = 90.00°, γ = 90.00°
With the nearest neighbours (Å) after each atom.
Sites, in units of the cell vectors:
1 Os 0.2500 0.2500 0.2500  4 O 2.66, 4 I 2.66
2 Os 0.2500 0.2500 0.7500  4 O 2.66, 4 I 2.66
3 Os 0.2500 0.7500 0.2500  4 O 2.66, 4 I 2.66
4 Os 0.2500 0.7500 0.7500  4 O 2.66, 4 I 2.66
5 Os 0.7500 0.2500 0.2500  4 O 2.66, 4 I 2.66
6 Os 0.7500 0.2500 0.7500  4 O 2.66, 4 I 2.66
7 Os 0.7500 0.7500 0.2500  4 O 2.66, 4 I 2.66
8 Os 0.7500 0.7500 0.7500  4 O 2.66, 4 I 2.66
9 I 0.0000 0.0000 0.0000  8 Os 2.66
10 I 0.0000 0.5000 0.5000  8 Os 2.66
11 I 0.5000 0.0000 0.5000  8 Os 2.66
12 I 0.5000 0.5000 0.0000  8 Os 2.66
13 O 0.0000 0.0000 0.5000  8 Os 2.66
14 O 0.0000 0.5000 0.0000  8 Os 2.66
15 O 0.5000 0.0000 0.0000  8 Os 2.66
16 O 0.5000 0.5000 0.5000  8 Os 2.66

Most stable one: (A), least stable one: (B).